Record 1
Computed, not measured: a relaxed La4Co2Br5 crystal at the PBE-GGA level of DFT.

Unit cell a=4.220 b=8.628 c=18.621 alpha=90.00 beta=90.00 gamma=90.00
Space group Immm (No. 71)
Inequivalent atoms, fractional coordinates:
La  0.000  0.000  0.178 x4
La  0.000  0.283  0.500 x4
Co  0.000  0.000  0.058 x4
Br  0.000  0.227  0.331 x8
Br  0.000  0.500  0.000 x2

Summary:
density: 5.26 g/cm3
raw total energy: -0.185 Ha/atom
total magnetic moment: 0.05 μB per atom


Record 2
Computed, not measured: a relaxed LaCo2Br crystal at the PBE-GGA level of DFT.

Unit cell a=10.091 b=3.814 c=5.298 alpha=90.00 beta=104.23 gamma=90.00
Space group C2/m (No. 12)
Inequivalent atoms, fractional coordinates:
La  0.000  0.000  0.000 x2
Co  0.213  0.500  0.901 x4
Br  0.000  0.500  0.500 x2

Summary:
density: 5.66 g/cm3
energy above the most stable polymorph in this dataset: 237 meV/atom
total magnetic moment: 0.58 μB per atom